Material: TlCrRu2
Method: DFT, PBE-GGA
State: relaxed

Lattice parameters (Å, degrees): 2.877 2.877 7.935 90.00 90.00 90.00
Space group P4mm (No. 99)
Asymmetric unit:
1 Tl 0.000 0.000 0.000 [1 per cell]
2 Cr 0.500 0.500 0.290 [1 per cell]
3 Ru 0.000 0.000 0.515 [1 per cell]
4 Ru 0.500 0.500 0.724 [1 per cell]

Computed properties:
Energy above the most stable polymorph in this dataset: 47.6 kJ/mol of formula units
Formation energy from the elements: 462 meV per atom
Raw total energy: -7.1731 eV/atom

=====

Material: TlCr2Ru
Method: DFT, PBE-GGA
State: relaxed

Lattice parameters (Å, degrees): 3.081 4.561 8.807 90.00 90.00 90.00
Space group Imm2 (No. 44)
Asymmetric unit:
1 Tl 0.000 0.000 0.000 [2 per cell]
2 Cr 0.000 0.000 0.485 [2 per cell]
3 Cr 0.000 0.500 0.770 [2 per cell]
4 Ru 0.000 0.500 0.226 [2 per cell]

Computed properties:
Energy above the most stable polymorph in this dataset: 43.9 kJ/mol of formula units
Formation energy from the elements: 515 meV per atom
Raw total energy: -7.2074 eV/atom

=====

Material: TlCr2Ru
Method: DFT, PBE-GGA
State: relaxed

Lattice parameters (Å, degrees): 6.367 6.367 6.367 90.00 90.00 90.00
Space group Fm-3m (No. 225)
Asymmetric unit:
1 Tl 0.000 0.000 0.000 [4 per cell]
2 Cr 0.250 0.250 0.250 [8 per cell]
3 Ru 0.000 0.000 0.500 [4 per cell]

Computed properties:
Energy above the most stable polymorph in this dataset: 101.6 kJ/mol of formula units
Formation energy from the elements: 664 meV per atom
Raw total energy: -7.0580 eV/atom

=====

Material: TlCr2Ru
Method: DFT, PBE-GGA
State: relaxed

Lattice parameters (Å, degrees): 2.9229 2.9229 25.1046 90.00 90.00 120.00
Space group R3m (No. 160, hexagonal axes)
Asymmetric unit:
1 Tl 0.0000 0.0000 0.0000 [3 per cell]
2 Cr 0.0000 0.0000 0.4935 [3 per cell]
3 Cr 0.0000 0.0000 0.7643 [3 per cell]
4 Ru 0.0000 0.0000 0.2372 [3 per cell]

Computed properties:
Energy above the most stable polymorph in this dataset: 72.7 kJ/mol of formula units
Formation energy from the elements: 589 meV per atom
Raw total energy: -7.1328 eV/atom

=====

Material: TlCr2Ru
Method: DFT, PBE-GGA
State: relaxed

Lattice parameters (Å, degrees): 2.930 2.930 7.440 90.00 90.00 90.00
Space group P4mm (No. 99)
Asymmetric unit:
1 Tl 0.000 0.000 0.000 [1 per cell]
2 Cr 0.000 0.000 0.511 [1 per cell]
3 Cr 0.500 0.500 0.302 [1 per cell]
4 Ru 0.500 0.500 0.707 [1 per cell]

Computed properties:
Energy above the most stable polymorph in this dataset: 0.0 kJ/mol of formula units
Formation energy from the elements: 401 meV per atom
Raw total energy: -7.3212 eV/atom

=====

Material: TlCr4Ru
Method: DFT, PBE-GGA
State: relaxed

Lattice parameters (Å, degrees): 6.888 6.888 6.888 90.00 90.00 90.00
Space group F-43m (No. 216)
Asymmetric unit:
1 Tl 0.000 0.000 0.000 [4 per cell]
2 Cr 0.127 0.127 0.373 [16 per cell]
3 Ru 0.250 0.250 0.750 [4 per cell]

Computed properties:
Formation energy from the elements: 403 meV per atom
Raw total energy: -7.9527 eV/atom

=====

Material: TlCrRu
Method: DFT, PBE-GGA
State: relaxed

Lattice parameters (Å, degrees): 2.938 2.938 11.472 90.00 90.00 90.00
Space group I4mm (No. 107)
Asymmetric unit:
1 Tl 0.000 0.000 0.000 [2 per cell]
2 Cr 0.000 0.000 0.312 [2 per cell]
3 Ru 0.000 0.000 0.694 [2 per cell]

Computed properties:
Energy above the most stable polymorph in this dataset: 0.0 kJ/mol of formula units
Formation energy from the elements: 442 meV per atom
Raw total energy: -6.6467 eV/atom

=====

Material: TlCrRu2
Method: DFT, PBE-GGA
State: relaxed

Lattice parameters (Å, degrees): 2.882 3.851 5.763 90.00 90.00 90.00
Space group Pmm2 (No. 25)
Asymmetric unit:
1 Tl 0.000 0.000 0.000 [1 per cell]
2 Cr 0.500 0.500 0.712 [1 per cell]
3 Ru 0.000 0.000 0.502 [1 per cell]
4 Ru 0.500 0.500 0.282 [1 per cell]

Computed properties:
Energy above the most stable polymorph in this dataset: 58.0 kJ/mol of formula units
Formation energy from the elements: 489 meV per atom
Raw total energy: -7.1461 eV/atom

=====

Material: TlCr2Ru
Method: DFT, PBE-GGA
State: relaxed

Lattice parameters (Å, degrees): 4.525 4.525 3.131 90.00 90.00 90.00
Space group P4/mmm (No. 123)
Asymmetric unit:
1 Tl 0.000 0.000 0.000 [1 per cell]
2 Cr 0.000 0.500 0.500 [2 per cell]
3 Ru 0.500 0.500 0.000 [1 per cell]

Computed properties:
Energy above the most stable polymorph in this dataset: 104.0 kJ/mol of formula units
Formation energy from the elements: 670 meV per atom
Raw total energy: -7.0518 eV/atom

=====

Material: TlCr2Ru
Method: DFT, PBE-GGA
State: relaxed

Lattice parameters (Å, degrees): 5.843 7.297 3.019 90.00 90.00 90.00
Space group Cmmm (No. 65)
Asymmetric unit:
1 Tl 0.000 0.000 0.000 [2 per cell]
2 Cr 0.250 0.250 0.500 [4 per cell]
3 Ru 0.000 0.500 0.000 [2 per cell]

Computed properties:
Energy above the most stable polymorph in this dataset: 97.0 kJ/mol of formula units
Formation energy from the elements: 652 meV per atom
Raw total energy: -7.0699 eV/atom

=====

Material: TlCrRu2
Method: DFT, PBE-GGA
State: relaxed

Lattice parameters (Å, degrees): 6.374 6.374 6.374 90.00 90.00 90.00
Space group F-43m (No. 216)
Asymmetric unit:
1 Tl 0.000 0.000 0.000 [4 per cell]
2 Cr 0.250 0.250 0.750 [4 per cell]
3 Ru 0.000 0.000 0.500 [4 per cell]
4 Ru 0.250 0.250 0.250 [4 per cell]

Computed properties:
Energy above the most stable polymorph in this dataset: 131.4 kJ/mol of formula units
Formation energy from the elements: 679 meV per atom
Raw total energy: -6.9560 eV/atom

=====

Material: TlCr2Ru
Method: DFT, PBE-GGA
State: relaxed

Lattice parameters (Å, degrees): 6.345 6.345 6.345 90.00 90.00 90.00
Space group F-43m (No. 216)
Asymmetric unit:
1 Tl 0.000 0.000 0.000 [4 per cell]
2 Cr 0.000 0.000 0.500 [4 per cell]
3 Cr 0.250 0.250 0.250 [4 per cell]
4 Ru 0.250 0.250 0.750 [4 per cell]

Computed properties:
Energy above the most stable polymorph in this dataset: 41.4 kJ/mol of formula units
Formation energy from the elements: 508 meV per atom
Raw total energy: -7.2139 eV/atom

=====

Material: TlCrRu2
Method: DFT, PBE-GGA
State: relaxed

Lattice parameters (Å, degrees): 3.003 3.024 6.882 90.00 90.00 90.00
Space group Pmmm (No. 47)
Asymmetric unit:
1 Tl 0.000 0.000 0.000 [1 per cell]
2 Cr 0.000 0.000 0.500 [1 per cell]
3 Ru 0.500 0.500 0.294 [2 per cell]

Computed properties:
Energy above the most stable polymorph in this dataset: 0.0 kJ/mol of formula units
Formation energy from the elements: 339 meV per atom
Raw total energy: -7.2964 eV/atom

=====

Material: TlCrRu2
Method: DFT, PBE-GGA
State: relaxed

Lattice parameters (Å, degrees): 6.303 6.303 6.303 90.00 90.00 90.00
Space group Fm-3m (No. 225)
Asymmetric unit:
1 Tl 0.000 0.000 0.000 [4 per cell]
2 Cr 0.000 0.000 0.500 [4 per cell]
3 Ru 0.250 0.250 0.250 [8 per cell]

Computed properties:
Energy above the most stable polymorph in this dataset: 50.9 kJ/mol of formula units
Formation energy from the elements: 471 meV per atom
Raw total energy: -7.1645 eV/atom

=====

Material: TlCr2Ru2
Method: DFT, PBE-GGA
State: relaxed

Lattice parameters (Å, degrees): 7.381 7.381 2.782 90.00 90.00 90.00
Space group P4/mbm (No. 127)
Asymmetric unit:
1 Tl 0.000 0.000 0.000 [2 per cell]
2 Cr 0.156 0.344 0.500 [4 per cell]
3 Ru 0.130 0.630 0.000 [4 per cell]

Computed properties:
Formation energy from the elements: 398 meV per atom
Raw total energy: -7.6346 eV/atom

=====

Material: TlCr2Ru
Method: DFT, PBE-GGA
State: relaxed

Lattice parameters (Å, degrees): 4.116 4.116 3.786 90.00 90.00 90.00
Space group P4/mmm (No. 123)
Asymmetric unit:
1 Tl 0.000 0.000 0.000 [1 per cell]
2 Cr 0.000 0.500 0.500 [2 per cell]
3 Ru 0.500 0.500 0.000 [1 per cell]

Computed properties:
Energy above the most stable polymorph in this dataset: 101.1 kJ/mol of formula units
Formation energy from the elements: 663 meV per atom
Raw total energy: -7.0592 eV/atom

=====

Material: TlCrRu2
Method: DFT, PBE-GGA
State: relaxed

Lattice parameters (Å, degrees): 3.151 3.151 6.417 90.00 90.00 90.00
Space group P4mm (No. 99)
Asymmetric unit:
1 Tl 0.000 0.000 0.000 [1 per cell]
2 Cr 0.500 0.500 0.307 [1 per cell]
3 Ru 0.000 0.000 0.463 [1 per cell]
4 Ru 0.500 0.500 0.716 [1 per cell]

Computed properties:
Energy above the most stable polymorph in this dataset: 100.9 kJ/mol of formula units
Formation energy from the elements: 601 meV per atom
Raw total energy: -7.0348 eV/atom

=====

Material: TlCr2Ru
Method: DFT, PBE-GGA
State: relaxed

Lattice parameters (Å, degrees): 4.127 4.127 7.555 90.00 90.00 90.00
Space group I4/mmm (No. 139)
Asymmetric unit:
1 Tl 0.000 0.000 0.000 [2 per cell]
2 Cr 0.000 0.500 0.250 [4 per cell]
3 Ru 0.000 0.000 0.500 [2 per cell]

Computed properties:
Energy above the most stable polymorph in this dataset: 82.6 kJ/mol of formula units
Formation energy from the elements: 615 meV per atom
Raw total energy: -7.1072 eV/atom

=====

Material: TlCrRu2
Method: DFT, PBE-GGA
State: relaxed

Lattice parameters (Å, degrees): 9.293 2.948 4.790 90.00 101.72 90.00
Space group Cm (No. 8)
Asymmetric unit:
1 Tl 0.000 0.000 0.000 [2 per cell]
2 Cr 0.265 0.500 0.289 [2 per cell]
3 Ru 0.003 0.500 0.503 [2 per cell]
4 Ru 0.240 0.000 0.703 [2 per cell]

Computed properties:
Energy above the most stable polymorph in this dataset: 66.8 kJ/mol of formula units
Formation energy from the elements: 512 meV per atom
Raw total energy: -7.1232 eV/atom

=====

Material: TlCrRu2
Method: DFT, PBE-GGA
State: relaxed

Lattice parameters (Å, degrees): 4.439 4.439 3.229 90.00 90.00 90.00
Space group P4/mmm (No. 123)
Asymmetric unit:
1 Tl 0.000 0.000 0.000 [1 per cell]
2 Cr 0.500 0.500 0.000 [1 per cell]
3 Ru 0.000 0.500 0.500 [2 per cell]

Computed properties:
Energy above the most stable polymorph in this dataset: 78.5 kJ/mol of formula units
Formation energy from the elements: 542 meV per atom
Raw total energy: -7.0930 eV/atom

=====

Material: TlCrRu2
Method: DFT, PBE-GGA
State: relaxed

Lattice parameters (Å, degrees): 3.144 4.402 4.671 90.00 90.00 90.00
Space group Pmmm (No. 47)
Asymmetric unit:
1 Tl 0.000 0.000 0.000 [1 per cell]
2 Cr 0.500 0.000 0.500 [1 per cell]
3 Ru 0.000 0.500 0.500 [1 per cell]
4 Ru 0.500 0.500 0.000 [1 per cell]

Computed properties:
Energy above the most stable polymorph in this dataset: 132.9 kJ/mol of formula units
Formation energy from the elements: 683 meV per atom
Raw total energy: -6.9520 eV/atom

=====

Material: TlCr2Ru
Method: DFT, PBE-GGA
State: relaxed

Lattice parameters (Å, degrees): 7.078 7.078 5.367 90.00 90.00 90.00
Space group I-42d (No. 122)
Asymmetric unit:
1 Tl 0.000 0.000 0.000 [4 per cell]
2 Cr 0.192 0.250 0.625 [8 per cell]
3 Ru 0.000 0.000 0.500 [4 per cell]

Computed properties:
Energy above the most stable polymorph in this dataset: 217.9 kJ/mol of formula units
Formation energy from the elements: 966 meV per atom
Raw total energy: -6.7567 eV/atom

=====

Material: TlCrRu2
Method: DFT, PBE-GGA
State: relaxed

Lattice parameters (Å, degrees): 7.059 7.059 5.492 90.00 90.00 90.00
Space group I-42d (No. 122)
Asymmetric unit:
1 Tl 0.000 0.000 0.000 [4 per cell]
2 Cr 0.000 0.000 0.500 [4 per cell]
3 Ru 0.182 0.250 0.625 [8 per cell]

Computed properties:
Energy above the most stable polymorph in this dataset: 135.4 kJ/mol of formula units
Formation energy from the elements: 690 meV per atom
Raw total energy: -6.9455 eV/atom

=====

Material: Tl3CrRu
Method: DFT, PBE-GGA
State: relaxed

Lattice parameters (Å, degrees): 5.271 5.271 5.271 90.00 90.00 90.00
Space group Pm-3m (No. 221)
Asymmetric unit:
1 Tl 0.000 0.000 0.500 [3 per cell]
2 Cr 0.500 0.500 0.500 [1 per cell]
3 Ru 0.000 0.000 0.000 [1 per cell]

Computed properties:
Formation energy from the elements: 743 meV per atom
Raw total energy: -4.4562 eV/atom

=====

Material: TlCrRu
Method: DFT, PBE-GGA
State: relaxed

Lattice parameters (Å, degrees): 2.9205 2.9205 6.7269 90.00 90.00 120.00
Space group P3m1 (No. 156)
Asymmetric unit:
1 Tl 0.0000 0.0000 0.0000 [1 per cell]
2 Cr 0.6667 0.3333 0.3584 [1 per cell]
3 Ru 0.3333 0.6667 0.6277 [1 per cell]

Computed properties:
Energy above the most stable polymorph in this dataset: 55.5 kJ/mol of formula units
Formation energy from the elements: 634 meV per atom
Raw total energy: -6.4549 eV/atom

=====

Material: TlCr2Ru
Method: DFT, PBE-GGA
State: relaxed

Lattice parameters (Å, degrees): 3.179 4.306 8.730 90.00 90.00 90.00
Space group Immm (No. 71)
Asymmetric unit:
1 Tl 0.000 0.000 0.000 [2 per cell]
2 Cr 0.000 0.500 0.240 [4 per cell]
3 Ru 0.000 0.000 0.500 [2 per cell]

Computed properties:
Energy above the most stable polymorph in this dataset: 105.3 kJ/mol of formula units
Formation energy from the elements: 674 meV per atom
Raw total energy: -7.0484 eV/atom

=====

Material: TlCrRu2
Method: DFT, PBE-GGA
State: relaxed

Lattice parameters (Å, degrees): 2.8632 2.8632 26.6397 90.00 90.00 120.00
Space group R-3m (No. 166, hexagonal axes)
Asymmetric unit:
1 Tl 0.0000 0.0000 0.0000 [3 per cell]
2 Cr 0.0000 0.0000 0.5000 [3 per cell]
3 Ru 0.0000 0.0000 0.2391 [6 per cell]

Computed properties:
Energy above the most stable polymorph in this dataset: 63.7 kJ/mol of formula units
Formation energy from the elements: 504 meV per atom
Raw total energy: -7.1314 eV/atom

=====

Material: TmCrRu
Method: DFT, PBE-GGA
State: relaxed

Lattice parameters (Å, degrees): 6.706 6.706 5.580 90.00 90.00 90.00
Space group P4_12_12 (No. 92)
Asymmetric unit:
1 Tm 0.231 0.231 0.000 [4 per cell]
2 Cr 0.068 0.068 0.500 [4 per cell]
3 Ru 0.185 0.815 0.750 [4 per cell]

Computed properties:
Formation energy from the elements: 407 meV per atom
Raw total energy: -7.3828 eV/atom

=====

Material: TmCrRu2
Method: DFT, PBE-GGA
State: relaxed

Lattice parameters (Å, degrees): 3.126 3.126 6.571 90.00 90.00 90.00
Space group P4/mmm (No. 123)
Asymmetric unit:
1 Tm 0.000 0.000 0.000 [1 per cell]
2 Cr 0.000 0.000 0.500 [1 per cell]
3 Ru 0.500 0.500 0.289 [2 per cell]

Computed properties:
Formation energy from the elements: -69 meV per atom
Raw total energy: -8.2311 eV/atom